No. 1
Density functional theory data (GGA-PBE) for MgPaTlHg after structural relaxation.

Cell: 7.3161 7.3161 7.3161 Å, 90.00 90.00 90.00°
Space group F-43m (No. 216)
One atom of each set of equivalent atoms:
1 Mg 0.0000 0.0000 0.0000 [4 per cell]
2 Pa 0.0000 0.0000 0.5000 [4 per cell]
3 Tl 0.2500 0.2500 0.7500 [4 per cell]
4 Hg 0.2500 0.2500 0.2500 [4 per cell]

## Properties
* calculated volume: 98 Å³/f.u.
* calculated formation energy: 5.19 kJ per mole of atoms
* uncorrected energy: -54.17 eV for the cell shown
* Fermi-level density of states: 17.2 states/eV per cell

No. 2
Density functional theory data (GGA-PBE) for MgHgPb2 after structural relaxation.

Cell: 3.4795 3.4795 8.8179 Å, 90.00 90.00 90.00°
Space group P4mm (No. 99)
One atom of each set of equivalent atoms:
1 Mg 0.0000 0.0000 0.0000 [1 per cell]
2 Hg 0.5000 0.5000 0.8064 [1 per cell]
3 Pb 0.0000 0.0000 0.5409 [1 per cell]
4 Pb 0.5000 0.5000 0.2495 [1 per cell]

## Properties
* calculated volume: 107 Å³/f.u.
* calculated formation energy: -7.09 kJ per mole of atoms
* uncorrected energy: -9.61 eV for the cell shown
* Fermi-level density of states: 0.9 states/eV per cell